Density functional theory data (PBE) for a relaxed structure of Al2CrFeCo4.

E ... -7.04 eV/atom
Symmetry ... No. 166
M_tot ... 8.0 μB per formula unit
Formation enthalpy at 0 K ... -2.4 eV per formula unit

a b c (Å): 6.9778 6.9778 6.9778
angles (deg): 33.60 33.60 33.60
Last column: magnetic moment on the atom in μB.
Fractional positions:
1 Al 0.7492 0.7492 0.7492  -0.04
2 Al 0.2508 0.2508 0.2508  -0.04
3 Cr 0.0000 0.0000 0.0000  1.58
4 Fe 0.5000 0.5000 0.5000  2.76
5 Co 0.3752 0.3752 0.3752  0.85
6 Co 0.8745 0.8745 0.8745  1.10
7 Co 0.1255 0.1255 0.1255  1.10
8 Co 0.6248 0.6248 0.6248  0.85

=====

Density functional theory data (PBE) for a relaxed structure of AlCrCo2H.

E ... -6.33 eV/atom
Symmetry ... No. 123
M_tot ... 3.1 μB per formula unit

a b c (Å): 3.7166 3.7166 3.5761
angles (deg): 90.00 90.00 90.00
Last column: magnetic moment on the atom in μB.
Fractional positions:
1 Cr 0.0000 0.0000 0.5000  2.27
2 Co 0.0000 0.5000 0.0000  0.40
3 Co 0.5000 0.0000 0.0000  0.40
4 Al 0.5000 0.5000 0.5000  -0.03
5 H 0.0000 0.0000 0.0000  -0.01

=====

What did the first record say?
Density functional theory data (PBE) for a relaxed structure of Al2CrFeCo4.

E ... -7.04 eV/atom
Symmetry ... No. 166
M_tot ... 8.0 μB per formula unit
Formation enthalpy at 0 K ... -2.4 eV per formula unit

a b c (Å): 6.9778 6.9778 6.9778
angles (deg): 33.60 33.60 33.60
Last column: magnetic moment on the atom in μB.
Fractional positions:
1 Al 0.7492 0.7492 0.7492  -0.04
2 Al 0.2508 0.2508 0.2508  -0.04
3 Cr 0.0000 0.0000 0.0000  1.58
4 Fe 0.5000 0.5000 0.5000  2.76
5 Co 0.3752 0.3752 0.3752  0.85
6 Co 0.8745 0.8745 0.8745  1.10
7 Co 0.1255 0.1255 0.1255  1.10
8 Co 0.6248 0.6248 0.6248  0.85